# 1
First-principles (meta-GGA SCAN) data for a PBEsol-optimized structure of Zr2ZnSe, as listed in Alexandria via LeMat-Bulk.

Results
- magnetic moment (μB per cell) = 0.000
- total DFT energy (no corrections) (eV/f.u.) = -97.091
- energy relative to the elements, uncorrected (meV/atom) = -525
- excess energy over the best structure of this formula in the dataset (kcal/mol of atoms) = 2.33

Cell lengths 3.2916, 4.5167, 10.3517 Å; angles 90.00, 90.00, 90.00 degrees
With the nearest neighbours (Å) after each atom.
Space group Imm2 (No. 44)
Inequivalent atoms, fractional coordinates:
1 Zr 0.0000 0.0000 0.0000  2 Se 2.73, 4 Zn 2.83
2 Zr 0.0000 0.5000 0.2477  4 Se 2.82, 2 Zr 3.09, 2 Zn 3.14
3 Zn 0.0000 0.0000 0.4591  6 Zr 2.83-3.14, 2 Se 3.06
4 Se 0.0000 0.5000 0.7099  6 Zr 2.73-2.82



# 2
First-principles (meta-GGA SCAN) data for a PBEsol-optimized structure of Sr2AlCd2, as listed in Alexandria via LeMat-Bulk.

Results
- magnetic moment (μB per cell) = 0.000
- formation enthalpy at 0 K (eV/atom) = -0.077
- total DFT energy (no corrections) (eV/f.u.) = -113.516

Cell lengths 4.0194, 4.0194, 19.4267 Å; angles 90.00, 90.00, 90.00 degrees
With the nearest neighbours (Å) after each atom.
Space group I4/mmm (No. 139)
Inequivalent atoms, fractional coordinates:
1 Sr 0.0000 0.0000 0.0989  4 Al 3.43, 4 Cd 3.56
2 Al 0.0000 0.0000 0.5000  8 Sr 3.43
3 Cd 0.0000 0.5000 0.2500  4 Cd 2.84



Which of these has the lowest total DFT energy (no corrections)?
Sr2AlCd2



Please write out number 2 again, unchanged.
First-principles (meta-GGA SCAN) data for a PBEsol-optimized structure of Sr2AlCd2, as listed in Alexandria via LeMat-Bulk.

Results
- magnetic moment (μB per cell) = 0.000
- formation enthalpy at 0 K (eV/atom) = -0.077
- total DFT energy (no corrections) (eV/f.u.) = -113.516

Cell lengths 4.0194, 4.0194, 19.4267 Å; angles 90.00, 90.00, 90.00 degrees
With the nearest neighbours (Å) after each atom.
Space group I4/mmm (No. 139)
Inequivalent atoms, fractional coordinates:
1 Sr 0.0000 0.0000 0.0989  4 Al 3.43, 4 Cd 3.56
2 Al 0.0000 0.0000 0.5000  8 Sr 3.43
3 Cd 0.0000 0.5000 0.2500  4 Cd 2.84



magnetic moment of number 2 (Sr2AlCd2)?
0.000 μB per cell